Dy2Zn3Cu12Rh | PBE | relaxed

Properties
Crystal system = trigonal
Energy relative to the elements = 0.0029 eV/atom
Calculated volume = 15.5 Å³ per atom
Magnetization = 0.00 μB/cell
Raw total energy = -3.86 eV/atom

a = 5.1150 Å, b = 5.1150 Å, c = 37.0274 Å
α = 90.00°, β = 90.00°, γ = 120.00°
Space group R-3m (No. 166, hexagonal axes)
One atom of each set of equivalent atoms:
Dy 0.0000 0.0000 0.1449 [6 per cell]
Zn 0.0000 0.5000 0.0000 [9 per cell]
Cu 0.0012 0.5006 0.1084 [18 per cell]
Cu 0.0102 0.5051 0.6116 [18 per cell]
Rh 0.0000 0.0000 0.5000 [3 per cell]

BIF3 | PBE | relaxed

Properties
Crystal system = cubic
Calculated volume = 18.4 Å³ per atom
Magnetization = 0.35 μB/cell
Raw total energy = -2.49 eV/atom
Formation energy (no corrections) = 0.27 eV per atom

a = 4.514 Å, b = 4.514 Å, c = 4.514 Å
α = 90.00°, β = 90.00°, γ = 90.00°
Space group Pm-3m (No. 221)
One atom of each set of equivalent atoms:
B 0.000 0.000 0.000 [1 per cell]
I 0.500 0.500 0.500 [1 per cell]
F 0.000 0.500 0.500 [3 per cell]

TbLuCl | PBE | relaxed

Properties
Crystal system = trigonal
Calculated volume = 26.4 Å³ per atom
Magnetization = 0.19 μB/cell
Raw total energy = -4.55 eV/atom
Formation energy (no corrections) = -0.89 eV per atom

a = 3.6260 Å, b = 3.6260 Å, c = 6.9440 Å
α = 90.00°, β = 90.00°, γ = 120.00°
Space group P3m1 (No. 156)
One atom of each set of equivalent atoms:
Tb 0.0000 0.0000 0.0000 [1 per cell]
Lu 0.3333 0.6667 0.6240 [1 per cell]
Cl 0.6667 0.3333 0.3172 [1 per cell]

AcNb6Se12 | PBE | relaxed

Properties
Crystal system = trigonal
Calculated volume = 21.0 Å³ per atom
Magnetization = 0.01 μB/cell
Raw total energy = -6.15 eV/atom
Formation energy (no corrections) = -0.55 eV per atom

a = 12.7183 Å, b = 12.7183 Å, c = 8.5382 Å
α = 90.00°, β = 90.00°, γ = 120.00°
Space group R-3m (No. 166, hexagonal axes)
One atom of each set of equivalent atoms:
Ac 0.0000 0.0000 0.0000 [3 per cell]
Nb 0.0500 0.5250 0.2380 [18 per cell]
Se 0.0000 0.3814 0.5000 [18 per cell]
Se 0.0880 0.1761 0.3048 [18 per cell]

AcLaAl2 | PBE | relaxed

Properties
Crystal system = orthorhombic
Energy relative to the elements = -0.2632 eV/atom
Calculated volume = 29.1 Å³ per atom
Magnetization = 0.00 μB/cell
Raw total energy = -4.39 eV/atom

a = 6.549 Å, b = 7.431 Å, c = 9.566 Å
α = 90.00°, β = 90.00°, γ = 90.00°
Space group Pnma (No. 62)
One atom of each set of equivalent atoms:
Ac 0.005 0.250 0.210 [4 per cell]
La 0.164 0.250 0.865 [4 per cell]
Al 0.171 0.073 0.554 [8 per cell]

KBeIrF2 | PBE | relaxed

Properties
Crystal system = tetragonal
Calculated volume = 23.6 Å³ per atom
Magnetization = 1.59 μB/cell
Raw total energy = -2.89 eV/atom
Formation energy (no corrections) = 0.59 eV per atom

a = 4.233 Å, b = 4.233 Å, c = 6.599 Å
α = 90.00°, β = 90.00°, γ = 90.00°
Space group P4/mmm (No. 123)
One atom of each set of equivalent atoms:
K 0.000 0.000 0.000 [1 per cell]
Be 0.500 0.500 0.500 [1 per cell]
Ir 0.000 0.000 0.500 [1 per cell]
F 0.000 0.500 0.000 [2 per cell]

Gd2TmRu | PBE | relaxed

Properties
Crystal system = trigonal
Energy relative to the elements = 0.1273 eV/atom
Calculated volume = 28.1 Å³ per atom
Magnetization = 45.24 μB/cell
Raw total energy = -10.35 eV/atom

a = 3.5060 Å, b = 3.5060 Å, c = 31.6968 Å
α = 90.00°, β = 90.00°, γ = 120.00°
Space group R-3m (No. 166, hexagonal axes)
One atom of each set of equivalent atoms:
Gd 0.0000 0.0000 0.1058 [6 per cell]
Tm 0.0000 0.0000 0.0000 [3 per cell]
Ru 0.0000 0.0000 0.5000 [3 per cell]

Ce6HoPa2 | PBE | relaxed

Properties
Crystal system = trigonal
Energy relative to the elements = 0.5364 eV/atom
Calculated volume = 30.4 Å³ per atom
Magnetization = 0.00 μB/cell
Raw total energy = -6.04 eV/atom

a = 5.3926 Å, b = 5.3926 Å, c = 10.8544 Å
α = 90.00°, β = 90.00°, γ = 120.00°
Space group P-31m (No. 162)
One atom of each set of equivalent atoms:
Ce 0.0000 0.3342 0.2648 [6 per cell]
Ho 0.0000 0.0000 0.0000 [1 per cell]
Pa 0.3333 0.6667 0.5000 [2 per cell]

GeSF2 | PBE | relaxed

Properties
Crystal system = trigonal
Calculated volume = 16.1 Å³ per atom
Magnetization = 1.05 μB/cell
Raw total energy = -3.83 eV/atom
Formation energy (no corrections) = -0.71 eV per atom

a = 2.7505 Å, b = 2.7505 Å, c = 29.5175 Å
α = 90.00°, β = 90.00°, γ = 120.00°
Space group R-3m (No. 166, hexagonal axes)
One atom of each set of equivalent atoms:
Ge 0.0000 0.0000 0.0000 [3 per cell]
S 0.0000 0.0000 0.5000 [3 per cell]
F 0.0000 0.0000 0.0605 [6 per cell]

NaCeBi2 | PBE | relaxed

Properties
Crystal system = triclinic
Energy relative to the elements = -0.4713 eV/atom
Calculated volume = 30.2 Å³ per atom
Magnetization = 3.72 μB/cell
Raw total energy = -4.22 eV/atom

a = 5.755 Å, b = 7.513 Å, c = 11.923 Å
α = 71.73°, β = 81.49°, γ = 89.95°
Space group P-1 (No. 2)
One atom of each set of equivalent atoms:
Na 0.236 0.311 0.377 [2 per cell]
Na 0.241 0.059 0.881 [2 per cell]
Ce 0.236 0.818 0.364 [2 per cell]
Ce 0.263 0.565 0.870 [2 per cell]
Bi 0.245 0.196 0.126 [2 per cell]
Bi 0.245 0.678 0.126 [2 per cell]
Bi 0.267 0.441 0.619 [2 per cell]
Bi 0.267 0.941 0.619 [2 per cell]

HgSb2Se | PBE | relaxed

Properties
Crystal system = tetragonal
Calculated volume = 25.6 Å³ per atom
Magnetization = 0.00 μB/cell
Raw total energy = -2.74 eV/atom
Formation energy (no corrections) = 0.27 eV per atom

a = 4.628 Å, b = 4.628 Å, c = 9.570 Å
α = 90.00°, β = 90.00°, γ = 90.00°
Space group I4/mmm (No. 139)
One atom of each set of equivalent atoms:
Hg 0.000 0.000 0.000 [2 per cell]
Sb 0.000 0.500 0.250 [4 per cell]
Se 0.000 0.000 0.500 [2 per cell]

ZnTe2H | PBE | relaxed

Properties
Crystal system = tetragonal
Calculated volume = 23.1 Å³ per atom
Magnetization = 0.00 μB/cell
Raw total energy = -2.52 eV/atom

a = 5.853 Å, b = 5.853 Å, c = 10.803 Å
α = 90.00°, β = 90.00°, γ = 90.00°
Space group I-42d (No. 122)
One atom of each set of equivalent atoms:
Zn 0.000 0.000 0.000 [4 per cell]
Te 0.199 0.250 0.625 [8 per cell]
H 0.000 0.000 0.500 [4 per cell]

Ti2BePt2 | PBE | relaxed

Properties
Crystal system = tetragonal
Energy relative to the elements = -0.5437 eV/atom
Calculated volume = 16.0 Å³ per atom
Magnetization = 0.00 μB/cell
Raw total energy = -6.86 eV/atom

a = 7.039 Å, b = 7.039 Å, c = 3.224 Å
α = 90.00°, β = 90.00°, γ = 90.00°
Space group P4/mbm (No. 127)
One atom of each set of equivalent atoms:
Ti 0.168 0.332 0.000 [4 per cell]
Be 0.000 0.000 0.500 [2 per cell]
Pt 0.138 0.638 0.500 [4 per cell]

ZnAs2Pb | PBE | relaxed

Properties
Crystal system = trigonal
Energy relative to the elements = 0.0732 eV/atom
Calculated volume = 22.6 Å³ per atom
Magnetization = 0.00 μB/cell
Raw total energy = -3.50 eV/atom

a = 3.9223 Å, b = 3.9223 Å, c = 20.3365 Å
α = 90.00°, β = 90.00°, γ = 120.00°
Space group R-3m (No. 166, hexagonal axes)
One atom of each set of equivalent atoms:
Zn 0.0000 0.0000 0.0000 [3 per cell]
As 0.0000 0.0000 0.2666 [6 per cell]
Pb 0.0000 0.0000 0.5000 [3 per cell]

LaSiP3 | PBE | relaxed

Properties
Crystal system = orthorhombic
Calculated volume = 21.5 Å³ per atom
Magnetization = 0.00 μB/cell
Raw total energy = -5.96 eV/atom
Formation energy (no corrections) = -0.64 eV per atom

a = 5.702 Å, b = 25.675 Å, c = 5.862 Å
α = 90.00°, β = 90.00°, γ = 90.00°
Space group Pbca (No. 61)
One atom of each set of equivalent atoms:
La 0.000 0.091 0.000 [8 per cell]
Si 0.086 0.208 0.415 [8 per cell]
P 0.002 0.627 0.995 [8 per cell]
P 0.019 0.713 0.452 [8 per cell]
P 0.250 0.000 0.250 [8 per cell]

Na2UTlSe4 | PBE | relaxed

Properties
Crystal system = monoclinic
Calculated volume = 28.3 Å³ per atom
Magnetization = 0.99 μB/cell
Raw total energy = -4.77 eV/atom
Formation energy (no corrections) = -0.99 eV per atom

a = 7.226 Å, b = 4.233 Å, c = 7.890 Å
α = 90.00°, β = 110.34°, γ = 90.00°
Space group P2/m (No. 10)
One atom of each set of equivalent atoms:
Na 0.000 0.000 0.000 [1 per cell]
Na 0.000 0.500 0.500 [1 per cell]
U 0.500 0.000 0.500 [1 per cell]
Tl 0.500 0.500 0.000 [1 per cell]
Se 0.271 0.500 0.282 [2 per cell]
Se 0.272 0.000 0.704 [2 per cell]

Pr5DyYTm2 | PBE | relaxed

Properties
Crystal system = orthorhombic
Energy relative to the elements = 0.1478 eV/atom
Calculated volume = 34.8 Å³ per atom
Magnetization = 0.00 μB/cell
Raw total energy = -4.73 eV/atom

a = 5.641 Å, b = 20.703 Å, c = 10.727 Å
α = 90.00°, β = 90.00°, γ = 90.00°
Space group Cmc2_1 (No. 36)
One atom of each set of equivalent atoms:
Pr 0.000 0.013 0.000 [4 per cell]
Pr 0.000 0.278 0.300 [4 per cell]
Pr 0.000 0.296 0.694 [4 per cell]
Pr 0.000 0.382 0.005 [4 per cell]
Pr 0.000 0.486 0.731 [4 per cell]
Dy 0.000 0.200 0.998 [4 per cell]
Y 0.000 0.405 0.453 [4 per cell]
Tm 0.000 0.113 0.286 [4 per cell]
Tm 0.000 0.114 0.727 [4 per cell]

LiBe2Cr | PBE | relaxed

Properties
Crystal system = orthorhombic
Energy relative to the elements = 0.2311 eV/atom
Calculated volume = 10.1 Å³ per atom
Magnetization = 0.00 μB/cell
Raw total energy = -4.52 eV/atom

a = 2.259 Å, b = 4.197 Å, c = 8.523 Å
α = 90.00°, β = 90.00°, γ = 90.00°
Space group Imm2 (No. 44)
One atom of each set of equivalent atoms:
Li 0.000 0.000 0.000 [2 per cell]
Be 0.000 0.000 0.460 [2 per cell]
Be 0.000 0.500 0.745 [2 per cell]
Cr 0.000 0.500 0.209 [2 per cell]

LuNpGaOs | PBE | relaxed

Properties
Crystal system = cubic
Energy relative to the elements = -0.0972 eV/atom
Calculated volume = 20.3 Å³ per atom
Magnetization = 15.06 μB/cell
Raw total energy = -8.03 eV/atom

a = 6.879 Å, b = 6.879 Å, c = 6.879 Å
α = 90.00°, β = 90.00°, γ = 90.00°
Space group F-43m (No. 216)
One atom of each set of equivalent atoms:
Lu 0.000 0.000 0.000 [4 per cell]
Np 0.000 0.000 0.500 [4 per cell]
Ga 0.250 0.250 0.250 [4 per cell]
Os 0.250 0.250 0.750 [4 per cell]

CaMgIn4Ag2 | PBE | relaxed

Properties
Crystal system = trigonal
Energy relative to the elements = -0.1193 eV/atom
Calculated volume = 23.5 Å³ per atom
Magnetization = 0.00 μB/cell
Raw total energy = -2.65 eV/atom

a = 4.9973 Å, b = 4.9973 Å, c = 26.0341 Å
α = 90.00°, β = 90.00°, γ = 120.00°
Space group R-3m (No. 166, hexagonal axes)
One atom of each set of equivalent atoms:
Ca 0.0000 0.0000 0.0000 [3 per cell]
Mg 0.0000 0.0000 0.5000 [3 per cell]
In 0.0000 0.0000 0.1273 [6 per cell]
In 0.0000 0.0000 0.3836 [6 per cell]
Ag 0.0000 0.0000 0.2557 [6 per cell]

YNb2H | PBE | relaxed

Properties
Crystal system = cubic
Calculated volume = 18.6 Å³ per atom
Magnetization = 0.00 μB/cell
Raw total energy = -7.41 eV/atom

a = 8.419 Å, b = 8.419 Å, c = 8.419 Å
α = 90.00°, β = 90.00°, γ = 90.00°
Space group Fd-3m (No. 227, origin choice 2)
One atom of each set of equivalent atoms:
Y 0.125 0.125 0.125 [8 per cell]
Nb 0.000 0.000 0.500 [16 per cell]
H 0.125 0.125 0.625 [8 per cell]

KCdCl2 | PBE | relaxed

Properties
Crystal system = trigonal
Calculated volume = 36.7 Å³ per atom
Magnetization = 0.00 μB/cell
Raw total energy = -2.51 eV/atom
Formation energy (no corrections) = -1.09 eV per atom

a = 4.3940 Å, b = 4.3940 Å, c = 26.3379 Å
α = 90.00°, β = 90.00°, γ = 120.00°
Space group R-3m (No. 166, hexagonal axes)
One atom of each set of equivalent atoms:
K 0.0000 0.0000 0.0000 [3 per cell]
Cd 0.0000 0.0000 0.5000 [3 per cell]
Cl 0.0000 0.0000 0.4018 [6 per cell]

MnCdSCl2 | PBE | relaxed

Properties
Crystal system = tetragonal
Calculated volume = 26.3 Å³ per atom
Magnetization = 5.08 μB/cell
Raw total energy = -3.58 eV/atom
Formation energy (no corrections) = 0.01 eV per atom

a = 5.003 Å, b = 5.003 Å, c = 5.255 Å
α = 90.00°, β = 90.00°, γ = 90.00°
Space group P4/mmm (No. 123)
One atom of each set of equivalent atoms:
Mn 0.000 0.000 0.000 [1 per cell]
Cd 0.500 0.500 0.500 [1 per cell]
S 0.500 0.500 0.000 [1 per cell]
Cl 0.000 0.500 0.500 [2 per cell]